Arrangement A

The following is a DFT calculation (SCAN) of a PBEsol-optimized structure of KCdAg.

a = 4.8200 Å, b = 4.8200 Å, c = 4.3808 Å
α = 90.00°, β = 90.00°, γ = 120.00°
With the nearest neighbours (Å) after each atom.
Sites, in units of the cell vectors:
K: 0.0000 0.0000 0.0000  6 Cd 3.54, 6 Ag 3.54
Cd: 0.6667 0.3333 0.5000  3 Ag 2.78
Ag: 0.3333 0.6667 0.5000  3 Cd 2.78

***

Arrangement B

The following is a DFT calculation (SCAN) of a PBEsol-optimized structure of KCdAg.

a = 3.7137 Å, b = 3.7137 Å, c = 12.0770 Å
α = 90.00°, β = 90.00°, γ = 90.00°
With the nearest neighbours (Å) after each atom.
Sites, in units of the cell vectors:
K: 0.0000 0.0000 0.0000  5 Cd 3.44-3.70, 5 Ag 3.50-3.65, 4 K 3.71
K: 0.5000 0.5000 0.5000  5 Cd 3.44-3.70, 5 Ag 3.50-3.65, 4 K 3.71
Cd: 0.0000 0.0000 0.2846  4 Ag 2.78
Cd: 0.5000 0.5000 0.7846  4 Ag 2.78
Ag: 0.0000 0.0000 0.7101  4 Cd 2.78
Ag: 0.5000 0.5000 0.2101  4 Cd 2.78

***

The structure with the greatest stability is arrangement A.

***

Arrangement A

The following is a DFT calculation (SCAN) of a PBEsol-optimized structure of LiCd2Ag2.

a = 4.0481 Å, b = 4.0481 Å, c = 13.0584 Å
α = 90.00°, β = 90.00°, γ = 90.00°
With the nearest neighbours (Å) after each atom.
Sites, in units of the cell vectors:
Li: 0.0000 0.0000 0.0000  8 Ag 3.15
Li: 0.5000 0.5000 0.5000  8 Ag 3.15
Cd: 0.0000 0.5000 0.2500  4 Ag 2.82, 4 Cd 2.86
Cd: 0.0000 0.5000 0.7500  4 Ag 2.82, 4 Cd 2.86
Cd: 0.5000 0.0000 0.2500  4 Ag 2.82, 4 Cd 2.86
Cd: 0.5000 0.0000 0.7500  4 Ag 2.82, 4 Cd 2.86
Ag: 0.0000 0.0000 0.4000  1 Ag 2.61, 4 Cd 2.82
Ag: 0.0000 0.0000 0.6000  1 Ag 2.61, 4 Cd 2.82
Ag: 0.5000 0.5000 0.1000  1 Ag 2.61, 4 Cd 2.82
Ag: 0.5000 0.5000 0.9000  1 Ag 2.61, 4 Cd 2.82

***

Arrangement B

The following is a DFT calculation (SCAN) of a PBEsol-optimized structure of LiCd2Ag2.

a = 8.0306 Å, b = 8.0306 Å, c = 3.0135 Å
α = 90.00°, β = 90.00°, γ = 90.00°
With the nearest neighbours (Å) after each atom.
Sites, in units of the cell vectors:
Li: 0.0000 0.0000 0.0000  2 Li 3.01, 4 Cd 3.13, 8 Ag 3.36
Li: 0.5000 0.5000 0.0000  2 Li 3.01, 4 Cd 3.13, 8 Ag 3.36
Cd: 0.1334 0.3666 0.0000  6 Ag 2.74-2.84, 3 Cd 3.01-3.03
Cd: 0.3666 0.8666 0.0000  6 Ag 2.74-2.84, 3 Cd 3.01-3.03
Cd: 0.6334 0.1334 0.0000  6 Ag 2.74-2.84, 3 Cd 3.01-3.03
Cd: 0.8666 0.6334 0.0000  6 Ag 2.74-2.84, 3 Cd 3.01-3.03
Ag: 0.1653 0.6653 0.5000  6 Cd 2.74-2.84, 2 Ag 3.01
Ag: 0.3347 0.1653 0.5000  6 Cd 2.74-2.84, 2 Ag 3.01
Ag: 0.6653 0.8347 0.5000  6 Cd 2.74-2.84, 2 Ag 3.01
Ag: 0.8347 0.3347 0.5000  6 Cd 2.74-2.84, 2 Ag 3.01

***

The structure with the greatest stability is arrangement B.

***

Arrangement A

The following is a DFT calculation (SCAN) of a PBEsol-optimized structure of NbCd3Ag.

a = 4.9841 Å, b = 4.9841 Å, c = 4.9841 Å
α = 90.00°, β = 90.00°, γ = 90.00°
With the nearest neighbours (Å) after each atom.
Sites, in units of the cell vectors:
Nb: 0.0000 0.0000 0.0000  12 Cd 3.52
Cd: 0.0000 0.5000 0.5000  2 Ag 2.49
Cd: 0.5000 0.0000 0.5000  2 Ag 2.49
Cd: 0.5000 0.5000 0.0000  2 Ag 2.49
Ag: 0.5000 0.5000 0.5000  6 Cd 2.49

***

Arrangement B

The following is a DFT calculation (SCAN) of a PBEsol-optimized structure of NbCd3Ag.

a = 5.2941 Å, b = 5.2941 Å, c = 5.2941 Å
α = 90.00°, β = 90.00°, γ = 90.00°
With the nearest neighbours (Å) after each atom.
Sites, in units of the cell vectors:
Nb: 0.0000 0.0000 0.0000  6 Cd 2.65
Cd: 0.0000 0.0000 0.5000  2 Nb 2.65
Cd: 0.0000 0.5000 0.0000  2 Nb 2.65
Cd: 0.5000 0.0000 0.0000  2 Nb 2.65
Ag: 0.5000 0.5000 0.5000  12 Cd 3.74

***

The structure with the greatest stability is arrangement A.

***

Arrangement A

The following is a DFT calculation (SCAN) of a PBEsol-optimized structure of CdAg2O4.

a = 7.9190 Å, b = 7.1646 Å, c = 5.8702 Å
α = 74.07°, β = 60.46°, γ = 45.47°
With the nearest neighbours (Å) after each atom.
Sites, in units of the cell vectors:
Cd: 0.1250 0.1250 0.1250  4 O 2.20
Cd: 0.8750 0.8750 0.8750  4 O 2.20
Ag: 0.2547 0.2547 0.4953  4 O 1.99
Ag: 0.4953 0.4953 0.2547  4 O 1.99
Ag: 0.5047 0.5047 0.7453  4 O 1.99
Ag: 0.7453 0.7453 0.5047  4 O 1.99
O: 0.0824 0.4220 0.2545  2 Ag 1.99, 1 Cd 2.20
O: 0.2545 0.7411 0.0824  2 Ag 1.99, 1 Cd 2.20
O: 0.2589 0.7455 0.5780  2 Ag 1.99, 1 Cd 2.20
O: 0.4220 0.0824 0.7411  2 Ag 1.99, 1 Cd 2.20
O: 0.5780 0.9176 0.2589  2 Ag 1.99, 1 Cd 2.20
O: 0.7411 0.2545 0.4220  2 Ag 1.99, 1 Cd 2.20
O: 0.7455 0.2589 0.9176  2 Ag 1.99, 1 Cd 2.20
O: 0.9176 0.5780 0.7455  2 Ag 1.99, 1 Cd 2.20

***

Arrangement B

The following is a DFT calculation (SCAN) of a PBEsol-optimized structure of CdAg2O4.

a = 7.0917 Å, b = 7.0917 Å, c = 7.0917 Å
α = 130.94°, β = 130.94°, γ = 71.92°
With the nearest neighbours (Å) after each atom.
Sites, in units of the cell vectors:
Cd: 0.3750 0.6250 0.7500  4 O 2.20
Cd: 0.6250 0.3750 0.2500  4 O 2.20
Ag: 0.0000 0.0000 0.0000  4 O 2.00
Ag: 0.0000 0.0000 0.5000  4 O 2.00
Ag: 0.0000 0.5000 0.0000  4 O 2.00
Ag: 0.5000 0.0000 0.5000  4 O 2.00
O: 0.2231 0.2430 0.9801  2 Ag 2.00, 1 Cd 2.20
O: 0.2371 0.7570 0.4801  2 Ag 2.00, 1 Cd 2.20
O: 0.2430 0.2231 0.4801  2 Ag 2.00, 1 Cd 2.20
O: 0.2430 0.7629 0.0199  2 Ag 2.00, 1 Cd 2.20
O: 0.7570 0.2371 0.9801  2 Ag 2.00, 1 Cd 2.20
O: 0.7570 0.7769 0.5199  2 Ag 2.00, 1 Cd 2.20
O: 0.7629 0.2430 0.5199  2 Ag 2.00, 1 Cd 2.20
O: 0.7769 0.7570 0.0199  2 Ag 2.00, 1 Cd 2.20

***

The structure with the greatest stability is arrangement B.

***

Arrangement A

The following is a DFT calculation (SCAN) of a PBEsol-optimized structure of CdAgPt.

a = 2.9112 Å, b = 2.9112 Å, c = 11.7987 Å
α = 90.00°, β = 90.00°, γ = 90.00°
With the nearest neighbours (Å) after each atom.
Sites, in units of the cell vectors:
Cd: 0.0000 0.0000 0.0000  4 Pt 2.81, 4 Cd 2.91, 4 Ag 2.91
Cd: 0.5000 0.5000 0.5000  4 Pt 2.81, 4 Cd 2.91, 4 Ag 2.91
Ag: 0.0000 0.0000 0.6748  4 Pt 2.82, 4 Ag 2.91, 4 Cd 2.91
Ag: 0.5000 0.5000 0.1748  4 Pt 2.82, 4 Ag 2.91, 4 Cd 2.91
Pt: 0.0000 0.0000 0.3378  4 Cd 2.81, 4 Ag 2.82, 4 Pt 2.91
Pt: 0.5000 0.5000 0.8378  4 Cd 2.81, 4 Ag 2.82, 4 Pt 2.91

***

Arrangement B

The following is a DFT calculation (SCAN) of a PBEsol-optimized structure of CdAgPt.

a = 4.5133 Å, b = 4.5133 Å, c = 2.8441 Å
α = 90.00°, β = 90.00°, γ = 120.00°
With the nearest neighbours (Å) after each atom.
Sites, in units of the cell vectors:
Cd: 0.0000 0.0000 0.0000  3 Ag 2.76, 3 Pt 2.78, 2 Cd 2.84
Ag: 0.6667 0.3333 0.3215  3 Cd 2.76, 3 Pt 2.78, 2 Ag 2.84
Pt: 0.3333 0.6667 0.6614  3 Cd 2.78, 3 Ag 2.78, 2 Pt 2.84

***

Arrangement C

The following is a DFT calculation (SCAN) of a PBEsol-optimized structure of CdAgPt.

a = 2.8982 Å, b = 4.0154 Å, c = 8.5846 Å
α = 90.00°, β = 90.00°, γ = 90.00°
With the nearest neighbours (Å) after each atom.
Sites, in units of the cell vectors:
Cd: 0.0000 0.0000 0.0000  5 Ag 2.82-2.88, 5 Pt 2.85-2.89, 2 Cd 2.90
Cd: 0.5000 0.5000 0.5000  5 Ag 2.82-2.88, 5 Pt 2.85-2.89, 2 Cd 2.90
Ag: 0.0000 0.0000 0.3287  5 Cd 2.82-2.88, 5 Pt 2.85-2.88, 2 Ag 2.90
Ag: 0.5000 0.5000 0.8287  5 Cd 2.82-2.88, 5 Pt 2.85-2.88, 2 Ag 2.90
Pt: 0.0000 0.0000 0.6636  5 Cd 2.85-2.89, 5 Ag 2.85-2.88, 2 Pt 2.90
Pt: 0.5000 0.5000 0.1636  5 Cd 2.85-2.89, 5 Ag 2.85-2.88, 2 Pt 2.90

***

The structure with the greatest stability is arrangement C.

***

Arrangement A

The following is a DFT calculation (SCAN) of a PBEsol-optimized structure of RbCd2Ag2.

a = 8.7072 Å, b = 8.7072 Å, c = 2.9651 Å
α = 90.00°, β = 90.00°, γ = 90.00°
With the nearest neighbours (Å) after each atom.
Sites, in units of the cell vectors:
Rb: 0.0000 0.0000 0.0000  2 Rb 2.97
Rb: 0.5000 0.5000 0.0000  2 Rb 2.97
Cd: 0.1216 0.3784 0.0000  6 Ag 2.94-2.99, 3 Cd 2.97-3.00
Cd: 0.3784 0.8784 0.0000  6 Ag 2.94-2.99, 3 Cd 2.97-3.00
Cd: 0.6216 0.1216 0.0000  6 Ag 2.94-2.99, 3 Cd 2.97-3.00
Cd: 0.8784 0.6216 0.0000  6 Ag 2.94-2.99, 3 Cd 2.97-3.00
Ag: 0.1726 0.6726 0.5000  6 Cd 2.94-2.99, 2 Ag 2.97
Ag: 0.3274 0.1726 0.5000  6 Cd 2.94-2.99, 2 Ag 2.97
Ag: 0.6726 0.8274 0.5000  6 Cd 2.94-2.99, 2 Ag 2.97
Ag: 0.8274 0.3274 0.5000  6 Cd 2.94-2.99, 2 Ag 2.97

***

Arrangement B

The following is a DFT calculation (SCAN) of a PBEsol-optimized structure of RbCd2Ag2.

a = 4.9696 Å, b = 4.9696 Å, c = 10.6576 Å
α = 90.00°, β = 90.00°, γ = 90.00°
With the nearest neighbours (Å) after each atom.
Sites, in units of the cell vectors:
Rb: 0.0000 0.0000 0.0000  8 Ag 3.64, 10 Cd 3.79-3.90
Rb: 0.5000 0.5000 0.5000  8 Ag 3.64, 10 Cd 3.79-3.90
Cd: 0.0000 0.0000 0.3655  4 Ag 2.77, 1 Cd 2.87
Cd: 0.0000 0.0000 0.6345  4 Ag 2.77, 1 Cd 2.87
Cd: 0.5000 0.5000 0.1345  4 Ag 2.77, 1 Cd 2.87
Cd: 0.5000 0.5000 0.8655  4 Ag 2.77, 1 Cd 2.87
Ag: 0.0000 0.5000 0.2500  4 Cd 2.77
Ag: 0.0000 0.5000 0.7500  4 Cd 2.77
Ag: 0.5000 0.0000 0.2500  4 Cd 2.77
Ag: 0.5000 0.0000 0.7500  4 Cd 2.77

***

The structure with the greatest stability is arrangement A.

***

Arrangement A

The following is a DFT calculation (SCAN) of a PBEsol-optimized structure of Cd2ReAg.

a = 4.1306 Å, b = 4.1306 Å, c = 8.0890 Å
α = 90.00°, β = 90.00°, γ = 90.00°
With the nearest neighbours (Å) after each atom.
Sites, in units of the cell vectors:
Cd: 0.0000 0.5000 0.2500  4 Re 2.89, 4 Ag 2.89, 4 Cd 2.92
Cd: 0.0000 0.5000 0.7500  4 Ag 2.89, 4 Re 2.89, 4 Cd 2.92
Cd: 0.5000 0.0000 0.2500  4 Re 2.89, 4 Ag 2.89, 4 Cd 2.92
Cd: 0.5000 0.0000 0.7500  4 Ag 2.89, 4 Re 2.89, 4 Cd 2.92
Re: 0.0000 0.0000 0.0000  8 Cd 2.89, 4 Ag 2.92
Re: 0.5000 0.5000 0.5000  8 Cd 2.89, 4 Ag 2.92
Ag: 0.0000 0.0000 0.5000  8 Cd 2.89, 4 Re 2.92
Ag: 0.5000 0.5000 0.0000  8 Cd 2.89, 4 Re 2.92

***

Arrangement B

The following is a DFT calculation (SCAN) of a PBEsol-optimized structure of Cd2ReAg.

a = 2.8664 Å, b = 4.9573 Å, c = 9.6661 Å
α = 90.00°, β = 90.00°, γ = 90.00°
With the nearest neighbours (Å) after each atom.
Sites, in units of the cell vectors:
Cd: 0.0000 0.0000 0.2462  2 Ag 2.78, 2 Re 2.84, 6 Cd 2.86-2.87
Cd: 0.0000 0.0000 0.7538  2 Ag 2.78, 2 Re 2.84, 6 Cd 2.86-2.87
Cd: 0.5000 0.5000 0.2538  2 Ag 2.78, 2 Re 2.84, 6 Cd 2.86-2.87
Cd: 0.5000 0.5000 0.7462  2 Ag 2.78, 2 Re 2.84, 6 Cd 2.86-2.87
Re: 0.0000 0.5000 0.0000  4 Cd 2.84, 4 Ag 2.86, 2 Re 2.87
Re: 0.5000 0.0000 0.5000  4 Cd 2.84, 4 Ag 2.86, 2 Re 2.87
Ag: 0.0000 0.5000 0.5000  4 Cd 2.78, 4 Re 2.86, 2 Ag 2.87
Ag: 0.5000 0.0000 0.0000  4 Cd 2.78, 4 Re 2.86, 2 Ag 2.87

***

The structure with the greatest stability is arrangement B.